A geometry-optimized Li5CdHg structure, computed with PBE-GGA.

CIF file:
```
data_Li5CdHg
_chemical_formula_sum 'Li10 Cd2 Hg2'
_space_group_name_H-M_alt 'P 1'
_space_group_IT_number 1
_cell_length_a 5.493
_cell_length_b 5.493
_cell_length_c 10.187
_cell_angle_alpha 80.17
_cell_angle_beta 80.17
_cell_angle_gamma 61.95
loop_
_space_group_symop_operation_xyz
'x,y,z'
loop_
_atom_site_label
_atom_site_fract_x
_atom_site_fract_y
_atom_site_fract_z
Li1 0.878 0.640 0.679
Li2 0.280 0.412 0.039
Li3 0.122 0.360 0.321
Li4 0.833 0.167 0.750
Li5 0.640 0.878 0.179
Li6 0.167 0.833 0.250
Li7 0.720 0.588 0.961
Li8 0.412 0.280 0.539
Li9 0.360 0.122 0.821
Li10 0.588 0.720 0.461
Cd1 0.336 0.664 0.750
Cd2 0.664 0.336 0.250
Hg1 0.000 0.000 0.500
Hg2 0.000 0.000 0.000
```

Results
electronic total energy = -11.92 eV per formula unit
symmetry = C2/c
D(E_F) = 2.6 states/eV/f.u.
energy of formation = -0.16 eV/atom

A geometry-optimized K4AsSe4 structure, computed with PBE-GGA.

CIF file:
```
data_K4AsSe4
_chemical_formula_sum 'K4 As1 Se4'
_space_group_name_H-M_alt 'P 1'
_space_group_IT_number 1
_cell_length_a 8.588
_cell_length_b 8.588
_cell_length_c 8.588
_cell_angle_alpha 78.88
_cell_angle_beta 126.61
_cell_angle_gamma 126.61
loop_
_space_group_symop_operation_xyz
'x,y,z'
loop_
_atom_site_label
_atom_site_fract_x
_atom_site_fract_y
_atom_site_fract_z
Se1 0.371 0.297 0.297
Se2 0.000 0.074 0.703
Se3 0.000 0.703 0.074
Se4 0.629 0.926 0.926
K1 0.000 0.299 0.299
K2 0.500 0.000 0.500
K3 0.500 0.500 0.000
K4 0.000 0.701 0.701
As1 0.000 0.000 0.000
```

Results
raw formation energy = -0.80 eV/atom
electronic total energy = -30.18 eV per formula unit
symmetry = I-42m
D(E_F) = 4.3 states/eV/f.u.

A geometry-optimized ScP2Pt structure, computed with PBE-GGA.

CIF file:
```
data_ScP2Pt
_chemical_formula_sum 'Sc1 P2 Pt1'
_space_group_name_H-M_alt 'P 1'
_space_group_IT_number 1
_cell_length_a 5.780
_cell_length_b 5.780
_cell_length_c 5.780
_cell_angle_alpha 144.82
_cell_angle_beta 144.22
_cell_angle_gamma 51.05
loop_
_space_group_symop_operation_xyz
'x,y,z'
loop_
_atom_site_label
_atom_site_fract_x
_atom_site_fract_y
_atom_site_fract_z
P1 0.972 0.972 0.000
P2 0.708 0.208 0.500
Sc1 0.284 0.784 0.500
Pt1 0.537 0.537 0.000
```

Results
electronic total energy = -26.14 eV per formula unit
symmetry = Imm2
D(E_F) = 1.4 states/eV/f.u.
energy of formation = -0.74 eV/atom

A geometry-optimized AlSbPt2 structure, computed with PBE-GGA.

CIF file:
```
data_AlSbPt2
_chemical_formula_sum 'Al1 Sb1 Pt2'
_space_group_name_H-M_alt 'P 1'
_space_group_IT_number 1
_cell_length_a 4.121
_cell_length_b 4.121
_cell_length_c 6.463
_cell_angle_alpha 80.45
_cell_angle_beta 80.45
_cell_angle_gamma 42.55
loop_
_space_group_symop_operation_xyz
'x,y,z'
loop_
_atom_site_label
_atom_site_fract_x
_atom_site_fract_y
_atom_site_fract_z
Pt1 0.984 0.984 0.045
Pt2 0.516 0.516 0.455
Al1 0.250 0.250 0.250
Sb1 0.750 0.750 0.750
```

Results
raw formation energy = -0.49 eV/atom
electronic total energy = -21.90 eV per formula unit
symmetry = C2/m
D(E_F) = 1.4 states/eV/f.u.

A geometry-optimized Co2Pt structure, computed with PBE-GGA.

CIF file:
```
data_Co2Pt
_chemical_formula_sum 'Co4 Pt2'
_space_group_name_H-M_alt 'P 1'
_space_group_IT_number 1
_cell_length_a 4.204
_cell_length_b 4.204
_cell_length_c 5.104
_cell_angle_alpha 90.00
_cell_angle_beta 90.00
_cell_angle_gamma 120.00
loop_
_space_group_symop_operation_xyz
'x,y,z'
loop_
_atom_site_label
_atom_site_fract_x
_atom_site_fract_y
_atom_site_fract_z
Co1 0.333 0.667 0.250
Co2 0.667 0.333 0.750
Co3 0.000 0.000 0.500
Co4 0.000 0.000 0.000
Pt1 0.667 0.333 0.250
Pt2 0.333 0.667 0.750
```

Results
electronic total energy = -20.09 eV per formula unit
symmetry = P6_3/mmc
D(E_F) = 3.4 states/eV/f.u.
energy of formation = 0.06 eV/atom

A geometry-optimized MoH2Ir structure, computed with PBE-GGA.

CIF file:
```
data_MoH2Ir
_chemical_formula_sum 'Mo1 H2 Ir1'
_space_group_name_H-M_alt 'P 1'
_space_group_IT_number 1
_cell_length_a 3.766
_cell_length_b 3.766
_cell_length_c 3.766
_cell_angle_alpha 60.00
_cell_angle_beta 60.00
_cell_angle_gamma 60.00
loop_
_space_group_symop_operation_xyz
'x,y,z'
loop_
_atom_site_label
_atom_site_fract_x
_atom_site_fract_y
_atom_site_fract_z
Ir1 0.500 0.500 0.500
H1 0.250 0.250 0.250
H2 0.750 0.750 0.750
Mo1 0.000 0.000 0.000
```

Results
electronic total energy = -23.46 eV per formula unit
symmetry = Fm-3m
D(E_F) = 3.3 states/eV/f.u.